Here is a geometry-optimized NaLaAlCd2 structure from Alexandria. Energies are from PBE.

For the energy of formation from the pure elements, the calculation gives 0.279 eV per atom.

The structure in POSCAR format:
```
NaLaAlCd2
1.0
-3.786 -3.391 -0.724
0.502 -1.622 4.967
-3.432 3.513 1.494
Al Cd Na La
1 2 1 1
direct
0.000 0.500 0.000
0.000 0.000 0.500
0.500 0.000 0.000
0.000 0.000 0.000
0.500 0.500 0.500
```

Here is a geometry-optimized RhSe2Br structure from Alexandria. Energies are from PBE.

The calculation puts the formation energy without anion corrections at -0.187 eV per atom. The energy above the most stable polymorph in this dataset is 12.05 kJ per mole of atoms.

The structure in POSCAR format:
```
RhSe2Br
1.0
-2.226 -7.202 -0.722
0.096 -6.665 -3.592
1.462 -7.427 -0.205
Se Rh Br
2 1 1
direct
0.025 0.025 0.025
0.475 0.475 0.475
0.750 0.750 0.750
0.250 0.250 0.250
```

Here is a geometry-optimized CaZr2TaPt structure from Alexandria. Energies are from PBE.

For the energy of formation from the pure elements, the calculation gives 1.004 eV per atom.

The structure in POSCAR format:
```
CaZr2TaPt
1.0
-2.346 -0.791 -4.366
-4.164 -2.370 2.666
-2.271 4.456 0.413
Zr Pt Ta Ca
2 1 1 1
direct
0.000 0.000 0.500
0.500 0.000 0.000
0.500 0.500 0.500
0.000 0.000 0.000
0.000 0.500 0.000
```

Here is a geometry-optimized PaSi2Ru3 structure from Alexandria. Energies are from PBE.

The calculation puts the formation energy without anion corrections at -0.655 eV per atom.

The structure in POSCAR format:
```
PaSi2Ru3
1.0
3.968 0.000 0.000
-1.984 7.719 -2.619
0.000 -0.230 9.515
Pa Si Ru
3 6 9
direct
0.158 0.315 0.697
0.842 0.685 0.303
0.000 0.000 0.000
0.538 0.075 0.776
0.462 0.925 0.224
0.638 0.276 0.444
0.196 0.392 0.122
0.362 0.724 0.556
0.804 0.608 0.878
0.680 0.360 0.956
0.320 0.640 0.044
0.386 0.773 0.821
0.217 0.434 0.386
0.500 0.000 0.500
0.783 0.566 0.614
0.956 0.912 0.669
0.044 0.088 0.331
0.614 0.227 0.179
```

Here is a geometry-optimized ThGa12Pd6 structure from Alexandria. Energies are from PBE.

For the energy of formation from the pure elements, the calculation gives -0.471 eV per atom.

The structure in POSCAR format:
```
ThGa12Pd6
1.0
-5.394 -4.354 -1.926
2.088 -2.523 6.406
-3.243 6.234 1.542
Ga Pd Th
12 6 1
direct
0.890 0.500 0.110
0.605 0.855 0.605
0.395 0.395 0.145
0.145 0.395 0.395
0.890 0.110 0.500
0.110 0.500 0.890
0.500 0.110 0.890
0.110 0.890 0.500
0.395 0.145 0.395
0.500 0.890 0.110
0.605 0.605 0.855
0.855 0.605 0.605
0.282 0.712 0.712
0.718 0.288 0.288
0.288 0.288 0.718
0.712 0.712 0.282
0.288 0.718 0.288
0.712 0.282 0.712
0.000 0.000 0.000
```

Here is a geometry-optimized Tm4Te3N structure from Alexandria. Energies are from PBE.

The calculation puts the formation energy without anion corrections at -1.156 eV per atom.

The structure in POSCAR format:
```
Tm4Te3N
1.0
5.942 0.000 0.000
0.000 7.874 0.000
0.000 0.000 9.865
N Tm Te
2 8 6
direct
0.978 0.138 0.000
0.478 0.862 0.500
0.606 0.128 0.000
0.564 0.767 0.298
0.564 0.767 0.702
0.585 0.133 0.500
0.106 0.872 0.500
0.085 0.867 0.000
0.064 0.233 0.798
0.064 0.233 0.202
0.066 0.643 0.260
0.066 0.643 0.740
0.566 0.357 0.240
0.586 0.748 0.000
0.566 0.357 0.760
0.086 0.252 0.500
```

Here is a geometry-optimized Cu2HRu structure from Alexandria. Energies are from PBE.

The energy above the most stable polymorph in this dataset is 44.92 kJ per mole of atoms.

The structure in POSCAR format:
```
Cu2HRu
1.0
0.000 2.870 2.870
2.870 0.000 2.870
2.870 2.870 0.000
Cu Ru H
2 1 1
direct
0.750 0.750 0.750
0.250 0.250 0.250
0.500 0.500 0.500
0.000 0.000 0.000
```

Here is a geometry-optimized SiHgCl2 structure from Alexandria. Energies are from PBE.

The calculation puts the formation energy without anion corrections at -0.195 eV per atom. The energy above the most stable polymorph in this dataset is 20.88 kJ per mole of atoms.

The structure in POSCAR format:
```
SiHgCl2
1.0
6.480 -0.025 0.017
2.894 5.797 -0.017
-3.817 -4.298 2.990
Cl Si Hg
2 1 1
direct
0.085 0.085 0.000
0.415 0.415 0.000
0.250 0.750 0.500
0.750 0.250 0.500
```

Here is a geometry-optimized Cd2In5Hg5 structure from Alexandria. Energies are from PBE.

The energy above the most stable polymorph in this dataset is 1.10 kJ per mole of atoms. For the energy of formation from the pure elements, the calculation gives 0.027 eV per atom.

The structure in POSCAR format:
```
Cd2In5Hg5
1.0
-3.906 2.750 -0.169
-6.058 -4.689 -3.880
-1.910 2.014 9.351
Hg In Cd
5 5 2
direct
0.335 0.965 0.364
0.334 0.262 0.070
0.665 0.035 0.636
0.000 0.500 0.500
0.666 0.738 0.930
0.927 0.300 0.847
0.000 0.000 0.000
0.294 0.791 0.621
0.073 0.700 0.153
0.706 0.209 0.379
0.614 0.521 0.252
0.386 0.479 0.748
```

Here is a geometry-optimized Pm4Dy4Tl structure from Alexandria. Energies are from PBE.

For the energy of formation from the pure elements, the calculation gives -0.040 eV per atom.

The structure in POSCAR format:
```
Pm4Dy4Tl
1.0
4.954 0.000 0.000
2.477 7.592 0.000
2.477 0.000 7.592
Pm Dy Tl
4 4 1
direct
0.334 0.666 0.666
0.666 0.334 0.334
0.000 0.666 0.334
0.000 0.334 0.666
0.661 0.678 0.000
0.339 0.000 0.322
0.339 0.322 0.000
0.661 0.000 0.678
0.000 0.000 0.000
```

Here is a geometry-optimized LiZnHg3 structure from Alexandria. Energies are from PBE.

The energy above the most stable polymorph in this dataset is 20.39 kJ per mole of atoms. For the energy of formation from the pure elements, the calculation gives 0.094 eV per atom.

The structure in POSCAR format:
```
LiZnHg3
1.0
5.207 0.000 0.000
0.000 5.207 0.000
0.000 0.000 5.207
Li Hg Zn
1 3 1
direct
0.500 0.500 0.500
0.500 0.000 0.000
0.000 0.000 0.500
0.000 0.500 0.000
0.000 0.000 0.000
```

Here is a geometry-optimized BeHgCl structure from Alexandria. Energies are from PBE.

The calculation puts the formation energy without anion corrections at 0.382 eV per atom. The energy above the most stable polymorph in this dataset is 54.87 kJ per mole of atoms.

The structure in POSCAR format:
```
BeHgCl
1.0
-0.178 2.695 -3.629
-2.696 -1.060 -3.474
-3.711 2.455 -0.814
Cl Hg Be
1 1 1
direct
0.000 0.000 0.000
0.500 0.500 0.500
0.750 0.750 0.750
```

Here is a geometry-optimized PmIn3Rh3 structure from Alexandria. Energies are from PBE.

For the energy of formation from the pure elements, the calculation gives 0.192 eV per atom.

The structure in POSCAR format:
```
PmIn3Rh3
1.0
7.178 0.000 0.000
0.000 7.178 0.000
0.000 0.000 7.178
In Rh Pm
6 6 2
direct
0.000 0.500 0.250
0.250 0.000 0.500
0.500 0.750 0.000
0.750 0.000 0.500
0.500 0.250 0.000
0.000 0.500 0.750
0.000 0.750 0.500
0.500 0.000 0.750
0.250 0.500 0.000
0.000 0.250 0.500
0.750 0.500 0.000
0.500 0.000 0.250
0.500 0.500 0.500
0.000 0.000 0.000
```

Here is a geometry-optimized Ti3TeH structure from Alexandria. Energies are from PBE.

The energy above the most stable polymorph in this dataset is 0.00 kJ per mole of atoms.

The structure in POSCAR format:
```
Ti3TeH
1.0
4.135 0.000 0.000
0.000 4.135 0.000
0.000 0.000 4.135
Te Ti H
1 3 1
direct
0.500 0.500 0.500
0.000 0.000 0.500
0.000 0.500 0.000
0.500 0.000 0.000
0.000 0.000 0.000
```

Here is a geometry-optimized V2CrW8 structure from Alexandria. Energies are from PBE.

For the energy of formation from the pure elements, the calculation gives 0.730 eV per atom.

The structure in POSCAR format:
```
V2CrW8
1.0
-3.168 0.979 -5.841
1.347 -5.303 -0.187
-4.091 -0.082 3.637
W Cr V
8 1 2
direct
0.274 0.343 0.853
0.114 0.386 0.386
0.726 0.657 0.147
0.726 0.147 0.657
0.274 0.853 0.343
0.303 0.864 0.864
0.886 0.614 0.614
0.697 0.136 0.136
0.000 0.000 0.000
0.559 0.685 0.685
0.441 0.315 0.315
```

Here is a geometry-optimized LiAgSb2S4 structure from Alexandria. Energies are from PBE.

The calculation puts the formation energy without anion corrections at -0.356 eV per atom.

The structure in POSCAR format:
```
LiAgSb2S4
1.0
6.573 -0.678 0.000
-1.221 6.494 0.000
-2.676 -2.908 4.142
S Li Ag Sb
4 1 1 2
direct
0.355 0.845 0.200
0.845 0.355 0.200
0.089 0.089 0.649
0.560 0.560 0.649
0.538 0.538 0.077
0.004 0.004 0.008
0.804 0.304 0.609
0.304 0.804 0.609
```

Here is a geometry-optimized Y2RhClO structure from Alexandria. Energies are from PBE.

The calculation puts the formation energy without anion corrections at -0.307 eV per atom.

The structure in POSCAR format:
```
Y2RhClO
1.0
-4.935 -1.193 -1.236
0.861 -4.433 0.839
-1.411 0.670 4.987
Cl Rh O Y
1 1 1 2
direct
0.000 0.500 0.000
0.000 0.000 0.000
0.500 0.500 0.500
0.000 0.000 0.500
0.500 0.000 0.000
```

Here is a geometry-optimized NbMoRuPt structure from Alexandria. Energies are from PBE.

For the energy of formation from the pure elements, the calculation gives -0.330 eV per atom.

The structure in POSCAR format:
```
NbMoRuPt
1.0
3.998 0.000 0.000
0.000 3.959 0.000
0.000 0.000 3.954
Ru Pt Nb Mo
1 1 1 1
direct
0.500 0.500 0.000
0.000 0.000 0.000
0.000 0.500 0.500
0.500 0.000 0.500
```

Here is a geometry-optimized AcHoTl4 structure from Alexandria. Energies are from PBE.

The energy above the most stable polymorph in this dataset is 0.00 kJ per mole of atoms. For the energy of formation from the pure elements, the calculation gives -0.252 eV per atom.

The structure in POSCAR format:
```
AcHoTl4
1.0
-3.542 3.737 0.521
-5.044 -1.157 -0.197
-1.566 -6.012 7.057
Ho Tl Ac
1 4 1
direct
0.001 0.997 0.498
0.829 0.503 0.659
0.173 0.492 0.337
0.383 0.949 0.214
0.619 0.046 0.783
0.501 0.497 0.998
```

Here is a geometry-optimized AgH12N4F structure from Alexandria. Energies are from PBE.

The calculation puts the total energy at -4.8443 eV/atom.

The structure in POSCAR format:
```
AgH12N4F
1.0
6.886 0.000 0.000
0.000 6.842 0.000
0.000 0.000 13.986
H Ag N F
48 4 16 4
direct
0.561 0.892 0.067
0.199 0.342 0.857
0.974 0.104 0.182
0.699 0.842 0.643
0.357 0.571 0.676
0.644 0.521 0.831
0.061 0.108 0.567
0.801 0.842 0.857
0.526 0.308 0.169
0.474 0.896 0.682
0.301 0.342 0.643
0.526 0.104 0.318
0.974 0.308 0.331
0.301 0.158 0.357
0.143 0.571 0.824
0.143 0.929 0.176
0.644 0.979 0.169
0.144 0.479 0.331
0.357 0.929 0.324
0.061 0.392 0.433
0.026 0.808 0.331
0.857 0.071 0.824
0.474 0.808 0.169
0.474 0.604 0.318
0.356 0.021 0.831
0.439 0.392 0.067
0.026 0.896 0.818
0.974 0.396 0.818
0.857 0.429 0.176
0.144 0.021 0.669
0.474 0.692 0.831
0.356 0.479 0.169
0.526 0.192 0.831
0.939 0.892 0.433
0.561 0.608 0.933
0.026 0.604 0.182
0.643 0.071 0.676
0.699 0.658 0.357
0.856 0.979 0.331
0.439 0.108 0.933
0.643 0.429 0.324
0.974 0.192 0.669
0.939 0.608 0.567
0.199 0.158 0.143
0.026 0.692 0.669
0.801 0.658 0.143
0.526 0.396 0.682
0.856 0.521 0.669
0.500 0.500 0.500
0.000 0.000 0.000
0.000 0.500 0.000
0.500 0.000 0.500
0.590 0.948 0.643
0.901 0.854 0.365
0.099 0.146 0.635
0.901 0.646 0.635
0.401 0.146 0.865
0.090 0.052 0.143
0.599 0.854 0.135
0.401 0.354 0.135
0.590 0.552 0.357
0.599 0.646 0.865
0.090 0.448 0.857
0.910 0.552 0.143
0.410 0.052 0.357
0.410 0.448 0.643
0.910 0.948 0.857
0.099 0.354 0.365
0.750 0.211 0.250
0.250 0.789 0.750
0.250 0.711 0.250
0.750 0.289 0.750
```

Here is a geometry-optimized KTc2Te structure from Alexandria. Energies are from PBE.

The calculation puts the formation energy without anion corrections at 0.943 eV per atom.

The structure in POSCAR format:
```
KTc2Te
1.0
3.333 0.000 0.000
0.000 3.333 0.000
0.000 0.000 8.384
Te Tc K
1 2 1
direct
0.500 0.500 0.250
0.000 0.000 0.410
0.000 0.000 0.090
0.500 0.500 0.750
```